4
Lattice="4.192 0.000 0.000 0.000 4.192 0.000 0.000 0.000 5.864" Properties=species:S:1:pos:R:3 comment="PBEsol In2SbSe, relaxed" e_form_raw_mev_per_atom=-256.9 sg=P4mm pbc="T T T"
Se 2.096 2.096 5.131
In 2.096 2.096 2.202
In 0.000 0.000 5.130
Sb 0.000 0.000 2.197